SrTlSCl2 after structural relaxation. Source: Alexandria, functional PBEsol.

Formation energy without anion corrections in eV per atom: -1.091

abc: 5.502 5.502 5.692
angles: 90.00 90.00 90.00
Space group P4/mmm (No. 123)
One atom of each set of equivalent atoms:
Sr: 0.000 0.000 0.000 x1
Tl: 0.500 0.500 0.500 x1
S: 0.000 0.000 0.500 x1
Cl: 0.000 0.500 0.000 x2

=====

LiMgCu2Se after structural relaxation. Source: Alexandria, functional PBEsol.

Formation energy without anion corrections in eV per atom: 0.727

abc: 4.517 4.517 4.822
angles: 90.00 90.00 90.00
Space group P4/mmm (No. 123)
One atom of each set of equivalent atoms:
Li: 0.000 0.000 0.000 x1
Mg: 0.000 0.000 0.500 x1
Cu: 0.000 0.500 0.500 x2
Se: 0.500 0.500 0.000 x1

=====

CaZrI2N after structural relaxation. Source: Alexandria, functional PBEsol.

Relative energy among the computed polymorphs in eV/f.u.: 0.00
Formation energy without anion corrections in eV per atom: -0.655

abc: 5.819 5.819 4.034
angles: 90.00 90.00 90.00
Space group P4/mmm (No. 123)
One atom of each set of equivalent atoms:
Ca: 0.000 0.000 0.000 x1
Zr: 0.500 0.500 0.500 x1
I: 0.000 0.500 0.500 x2
N: 0.500 0.500 0.000 x1

=====

Bi2Pt2Cl after structural relaxation. Source: Alexandria, functional PBEsol.

Formation energy without anion corrections in eV per atom: -0.380

abc: 3.889 3.889 15.504
angles: 90.00 90.00 90.00
Space group I4/mmm (No. 139)
One atom of each set of equivalent atoms:
Bi: 0.000 0.000 0.124 x4
Pt: 0.000 0.500 0.250 x4
Cl: 0.000 0.000 0.500 x2

=====

TeAuIO2 after structural relaxation. Source: Alexandria, functional PBEsol.

Formation energy without anion corrections in eV per atom: 0.581

abc: 4.079 4.079 6.721
angles: 90.00 90.00 90.00
Space group P4/mmm (No. 123)
One atom of each set of equivalent atoms:
Te: 0.000 0.000 0.000 x1
Au: 0.500 0.500 0.500 x1
I: 0.500 0.500 0.000 x1
O: 0.000 0.500 0.500 x2

=====

Na2CdSiIr after structural relaxation. Source: Alexandria, functional PBEsol.

Formation energy without anion corrections in eV per atom: 0.350

abc: 5.444 5.444 4.465
angles: 90.00 90.00 90.00
Space group P4/mmm (No. 123)
One atom of each set of equivalent atoms:
Na: 0.000 0.500 0.000 x2
Cd: 0.000 0.000 0.500 x1
Si: 0.500 0.500 0.500 x1
Ir: 0.500 0.500 0.000 x1

=====

Mg4TiN4 after structural relaxation. Source: Alexandria, functional PBEsol.

Formation energy without anion corrections in eV per atom: -1.084

abc: 5.419 5.434 8.225
angles: 70.74 83.82 68.99
Space group P-1 (No. 2)
One atom of each set of equivalent atoms:
Mg: 0.229 0.323 0.297 x2
Mg: 0.236 0.554 0.925 x2
Mg: 0.243 0.976 0.088 x2
Mg: 0.253 0.741 0.503 x2
Ti: 0.222 0.106 0.731 x2
N: 0.006 0.914 0.696 x2
N: 0.009 0.308 0.879 x2
N: 0.342 0.318 0.529 x2
N: 0.493 0.809 0.892 x2

=====

Co2H2W after structural relaxation. Source: Alexandria, functional PBEsol.

abc: 3.164 3.164 7.848
angles: 90.00 90.00 90.00
Space group I4/mmm (No. 139)
One atom of each set of equivalent atoms:
Co: 0.000 0.000 0.165 x4
H: 0.000 0.500 0.250 x4
W: 0.000 0.000 0.500 x2

=====

LiMg30BiO32 after structural relaxation. Source: Alexandria, functional PBEsol.

Formation energy without anion corrections in eV per atom: -2.632

abc: 8.506 8.506 8.503
angles: 90.00 90.00 90.00
Space group P4/mmm (No. 123)
One atom of each set of equivalent atoms:
Li: 0.000 0.000 0.000 x1
Mg: 0.000 0.000 0.500 x1
Mg: 0.000 0.246 0.248 x8
Mg: 0.000 0.500 0.000 x2
Mg: 0.000 0.500 0.500 x2
Mg: 0.239 0.239 0.000 x4
Mg: 0.242 0.500 0.256 x8
Mg: 0.248 0.248 0.500 x4
Mg: 0.500 0.500 0.500 x1
Bi: 0.500 0.500 0.000 x1
O: 0.000 0.000 0.257 x2
O: 0.000 0.251 0.500 x4
O: 0.000 0.254 0.000 x4
O: 0.000 0.500 0.253 x4
O: 0.234 0.500 0.000 x4
O: 0.248 0.500 0.500 x4
O: 0.251 0.251 0.249 x8
O: 0.500 0.500 0.267 x2

=====

MnCo2Mo after structural relaxation. Source: Alexandria, functional PBEsol.

Relative energy among the computed polymorphs in eV/f.u.: 0.52
Energy of formation from the pure elements in eV per atom: 0.099

abc: 8.232 2.521 4.445
angles: 90.00 99.23 90.00
Space group Cm (No. 8)
One atom of each set of equivalent atoms:
Mn: 0.000 0.000 0.000 x2
Co: 0.239 0.500 0.190 x2
Co: 0.488 0.000 0.445 x2
Mo: 0.242 0.000 0.695 x2

=====

FeReRh2 after structural relaxation. Source: Alexandria, functional PBEsol.

Relative energy among the computed polymorphs in eV/f.u.: 0.24
Energy of formation from the pure elements in eV per atom: -0.013

abc: 5.311 7.488 2.668
angles: 90.00 90.00 90.00
Space group Cmmm (No. 65)
One atom of each set of equivalent atoms:
Fe: 0.000 0.000 0.000 x2
Re: 0.000 0.500 0.000 x2
Rh: 0.250 0.250 0.500 x4

=====

Pd2SO after structural relaxation. Source: Alexandria, functional PBEsol.

Formation energy without anion corrections in eV per atom: -0.097

abc: 5.841 5.841 6.463
angles: 90.00 90.00 90.00
Space group I-42d (No. 122)
One atom of each set of equivalent atoms:
Pd: 0.229 0.750 0.125 x8
S: 0.000 0.000 0.500 x4
O: 0.000 0.000 0.000 x4

=====

Hf3HgOs after structural relaxation. Source: Alexandria, functional PBEsol.

Energy of formation from the pure elements in eV per atom: 1.757

abc: 4.991 4.991 4.991
angles: 90.00 90.00 90.00
Space group Pm-3m (No. 221)
One atom of each set of equivalent atoms:
Hf: 0.000 0.000 0.500 x3
Hg: 0.000 0.000 0.000 x1
Os: 0.500 0.500 0.500 x1

=====

YCr2W after structural relaxation. Source: Alexandria, functional PBEsol.

Relative energy among the computed polymorphs in eV/f.u.: 0.00
Energy of formation from the pure elements in eV per atom: 0.504

abc: 2.874 4.069 5.935
angles: 90.00 102.15 90.00
Space group P2/m (No. 10)
One atom of each set of equivalent atoms:
Y: 0.000 0.000 0.000 x1
Cr: 0.212 0.500 0.666 x2
W: 0.500 0.000 0.500 x1

=====

Si2Bi2Mo after structural relaxation. Source: Alexandria, functional PBEsol.

Formation energy without anion corrections in eV per atom: 0.424

abc: 6.618 6.618 4.714
angles: 90.00 90.00 90.00
Space group P4/mbm (No. 127)
One atom of each set of equivalent atoms:
Si: 0.136 0.364 0.000 x4
Bi: 0.178 0.678 0.500 x4
Mo: 0.000 0.000 0.000 x2

=====

Dy11S16 after structural relaxation. Source: Alexandria, functional PBEsol.

Formation energy without anion corrections in eV per atom: -2.129

abc: 8.177 16.392 8.151
angles: 90.00 90.00 90.00
Space group P2_12_12 (No. 18)
One atom of each set of equivalent atoms:
Dy: 0.000 0.000 0.135 x2
Dy: 0.004 0.750 0.377 x4
Dy: 0.123 0.623 0.763 x4
Dy: 0.133 0.121 0.759 x4
Dy: 0.244 0.439 0.479 x4
Dy: 0.248 0.318 0.999 x4
S: 0.065 0.089 0.437 x4
S: 0.074 0.160 0.080 x4
S: 0.076 0.668 0.078 x4
S: 0.079 0.592 0.437 x4
S: 0.172 0.284 0.679 x4
S: 0.173 0.961 0.838 x4
S: 0.181 0.786 0.679 x4
S: 0.182 0.462 0.803 x4

=====

MgZrTc2 after structural relaxation. Source: Alexandria, functional PBEsol.

Energy of formation from the pure elements in eV per atom: 0.169

abc: 6.385 6.385 6.385
angles: 90.00 90.00 90.00
Space group F-43m (No. 216)
One atom of each set of equivalent atoms:
Mg: 0.000 0.000 0.000 x4
Zr: 0.250 0.250 0.750 x4
Tc: 0.000 0.000 0.500 x4
Tc: 0.250 0.250 0.250 x4

=====

SiSbBr after structural relaxation. Source: Alexandria, functional PBEsol.

Formation energy without anion corrections in eV per atom: 0.966

abc: 6.807 6.807 6.807
angles: 90.00 90.00 90.00
Space group F-43m (No. 216)
One atom of each set of equivalent atoms:
Si: 0.000 0.000 0.000 x4
Sb: 0.000 0.000 0.500 x4
Br: 0.250 0.250 0.750 x4

=====

Be4InTc after structural relaxation. Source: Alexandria, functional PBEsol.

Energy of formation from the pure elements in eV per atom: 0.027

abc: 6.362 6.362 6.362
angles: 90.00 90.00 90.00
Space group F-43m (No. 216)
One atom of each set of equivalent atoms:
Be: 0.121 0.121 0.379 x16
In: 0.000 0.000 0.000 x4
Tc: 0.250 0.250 0.750 x4

=====

MgSe after structural relaxation. Source: Alexandria, functional PBEsol.

Formation energy without anion corrections in eV per atom: -1.211

abc: 5.941 5.941 5.941
angles: 90.00 90.00 90.00
Space group F-43m (No. 216)
One atom of each set of equivalent atoms:
Mg: 0.000 0.000 0.000 x4
Se: 0.250 0.250 0.750 x4

=====

Li2GaRePb after structural relaxation. Source: Alexandria, functional PBEsol.

Energy of formation from the pure elements in eV per atom: 1.494

abc: 4.817 4.817 5.209
angles: 90.00 90.00 90.00
Space group P4/mmm (No. 123)
One atom of each set of equivalent atoms:
Li: 0.000 0.500 0.000 x2
Ga: 0.000 0.000 0.500 x1
Re: 0.500 0.500 0.500 x1
Pb: 0.000 0.000 0.000 x1

=====

FeReRh2 after structural relaxation. Source: Alexandria, functional PBEsol.

Relative energy among the computed polymorphs in eV/f.u.: 0.04
Energy of formation from the pure elements in eV per atom: -0.065

abc: 2.674 4.218 4.645
angles: 90.00 90.00 90.00
Space group Pmm2 (No. 25)
One atom of each set of equivalent atoms:
Fe: 0.000 0.000 0.000 x1
Re: 0.000 0.500 0.680 x1
Rh: 0.500 0.000 0.506 x1
Rh: 0.500 0.500 0.164 x1

=====

In order of appearance, total DFT energy (no corrections) = -18.3, -12.6, -26.6, -52.8, -16.8, -17.8, -118.1, -71.3, -394.2, -73.2, -77.3, -87.8, -35.5, -39.1, -59.4, -364.8, -130.7, -37.1, -120.3, -32.0, -17.1, -38.8 eV for the cell shown.